Here is a relaxed LaCo2Se crystal from the Alexandria database. Energies are from PBE.

Results
Raw total energy (eV/atom): -6.010
Total magnetic moment (μB/cell): 0.0
V (A^3/atom): 17.58
SG: R-3m
Raw formation energy (kJ per mole of atoms): -34.15

Unit cell a=5.5251 b=5.5251 c=5.5251 alpha=42.71 beta=42.71 gamma=42.71
Last column: nearest neighbours and their distance in Å.
Atoms (fractional coordinates):
La (0.2500, 0.2500, 0.2500)  8 Co 3.03-3.06
Co (0.4514, 0.4514, 0.4514)  3 Se 2.38, 3 Co 2.55
Co (0.0486, 0.0486, 0.0486)  3 Se 2.38, 3 Co 2.55
Se (0.7500, 0.7500, 0.7500)  6 Co 2.38



Here is a relaxed LaCo2Se crystal from the Alexandria database. Energies are from PBE.

Results
Raw total energy (eV/atom): -6.016
Total magnetic moment (μB/cell): 0.7
V (A^3/atom): 20.22
SG: I-42d
Raw formation energy (kJ per mole of atoms): -34.79

Unit cell a=4.5719 b=4.5719 c=8.3860 alpha=74.18 beta=74.18 gamma=90.00
Last column: nearest neighbours and their distance in Å.
Atoms (fractional coordinates):
Co (0.8750, 0.6743, 0.7500)  2 Se 2.26, 2 Co 2.33
Se (0.2500, 0.7500, 0.5000)  4 Co 2.26
Co (0.4243, 0.1250, 0.2500)  2 Se 2.26, 2 Co 2.33
Se (0.5000, 0.5000, 0.0000)  4 Co 2.26
La (0.7500, 0.2500, 0.5000)  8 Co 3.05-3.37, 4 Se 3.23
La (0.0000, 0.0000, 0.0000)  8 Co 3.05-3.37, 4 Se 3.23
Co (0.3257, 0.6250, 0.2500)  2 Se 2.26, 2 Co 2.33
Co (0.3750, 0.5757, 0.7500)  2 Se 2.26, 2 Co 2.33



Here is a relaxed LaCoSe3 crystal from the Alexandria database. Energies are from PBE.

Results
Raw total energy (eV/atom): -5.338
Total magnetic moment (μB/cell): 0.9
V (A^3/atom): 21.75
Energy above the lowest structure with this stoichiometry (eV per atom): 0.0000
SG: Pm-3m
Raw formation energy (kJ per mole of atoms): -81.13

Unit cell a=4.7735 b=4.7735 c=4.7735 alpha=90.00 beta=90.00 gamma=90.00
Last column: nearest neighbours and their distance in Å.
Atoms (fractional coordinates):
Se (0.5000, 0.0000, 0.0000)  2 Co 2.39
La (0.5000, 0.5000, 0.5000)  12 Se 3.38
Se (0.0000, 0.5000, 0.0000)  2 Co 2.39
Co (0.0000, 0.0000, 0.0000)  6 Se 2.39
Se (0.0000, 0.0000, 0.5000)  2 Co 2.39



Here is a relaxed LaCo2Se crystal from the Alexandria database. Energies are from PBE.

Results
Raw total energy (eV/atom): -5.765
Total magnetic moment (μB/cell): 3.1
V (A^3/atom): 18.68
SG: Cmm2
Raw formation energy (kJ per mole of atoms): -10.56

Unit cell a=3.3975 b=3.3975 c=6.5328 alpha=90.00 beta=90.00 gamma=97.77
Last column: nearest neighbours and their distance in Å.
Atoms (fractional coordinates):
Co (0.0000, 0.0000, 0.0316)  2 Co 2.42, 2 Se 2.69
Co (0.5000, 0.5000, 0.1724)  1 Se 2.42, 2 Co 2.42
La (0.0000, 0.0000, 0.4935)  4 Se 3.01-3.26, 5 Co 3.02-3.31
Se (0.5000, 0.5000, 0.8025)  3 Co 2.42-2.69



Here is a relaxed LaCo2Se crystal from the Alexandria database. Energies are from PBE.

Results
Raw total energy (eV/atom): -5.692
Total magnetic moment (μB/cell): 1.1
V (A^3/atom): 18.35
SG: Fmmm
Raw formation energy (kJ per mole of atoms): -3.51

Unit cell a=4.2123 b=5.0785 c=4.2201 alpha=65.91 beta=88.99 gamma=114.04
Last column: nearest neighbours and their distance in Å.
Atoms (fractional coordinates):
Co (0.5000, 0.0000, 0.5000)  2 La 2.55, 2 Se 2.55
Se (0.5000, 0.5000, 0.0000)  4 Co 2.55
La (0.0000, 0.5000, 0.5000)  4 Co 2.55
Co (0.0000, 0.0000, 0.0000)  2 Se 2.55, 2 La 2.55



Here is a relaxed LaCo2Se crystal from the Alexandria database. Energies are from PBE.

Results
Raw total energy (eV/atom): -6.046
Total magnetic moment (μB/cell): 2.0
V (A^3/atom): 20.23
SG: Pmmm
Raw formation energy (kJ per mole of atoms): -37.66

Unit cell a=3.9951 b=4.2007 c=4.8207 alpha=90.01 beta=90.00 gamma=90.00
Last column: nearest neighbours and their distance in Å.
Atoms (fractional coordinates):
La (0.5000, 0.2500, 0.2500)  8 Co 3.11, 4 Se 3.20
Se (0.5000, 0.7500, 0.7500)  4 Co 2.38
Co (0.0000, 0.7500, 0.4814)  1 Co 2.23, 2 Se 2.38
Co (0.0000, 0.7500, 0.0186)  1 Co 2.23, 2 Se 2.38



Here is a relaxed LaCo2Se crystal from the Alexandria database. Energies are from PBE.

Results
Raw total energy (eV/atom): -5.990
Total magnetic moment (μB/cell): 0.0
V (A^3/atom): 18.59
SG: P4mm
Raw formation energy (kJ per mole of atoms): -32.28

Unit cell a=3.9259 b=3.9268 c=4.8236 alpha=90.03 beta=90.00 gamma=90.00
Last column: nearest neighbours and their distance in Å.
Atoms (fractional coordinates):
La (0.0000, 0.3748, 0.5113)  4 Co 2.88, 4 Se 3.19
Se (0.5000, 0.8750, 0.8389)  4 Co 2.27
Co (0.0000, 0.8750, 0.0749)  2 Se 2.27
Co (0.5000, 0.3752, 0.0750)  2 Se 2.27



Here is a relaxed LaCoSe4 crystal from the Alexandria database. Energies are from PBE.

Results
Raw total energy (eV/atom): -4.198
Total magnetic moment (μB/cell): 2.3
V (A^3/atom): 22.63
SG: F-43m
Raw formation energy (kJ per mole of atoms): 12.57

Unit cell a=5.7692 b=5.7692 c=5.7692 alpha=60.00 beta=60.00 gamma=60.00
Last column: nearest neighbours and their distance in Å.
Atoms (fractional coordinates):
Se (0.3762, 0.8715, 0.3762)  6 Se 2.86-2.91
Se (0.3762, 0.3762, 0.3762)  6 Se 2.86-2.91
Se (0.3762, 0.3762, 0.8715)  6 Se 2.86-2.91
Se (0.8715, 0.3762, 0.3762)  6 Se 2.86-2.91
Co (0.7500, 0.7500, 0.7500)  12 Se 3.38, 4 La 3.53
La (0.0000, 0.0000, 0.0000)  12 Se 3.39, 4 Co 3.53



Here is a relaxed LaCo2Se crystal from the Alexandria database. Energies are from PBE.

Results
Raw total energy (eV/atom): -5.612
Total magnetic moment (μB/cell): 1.0
V (A^3/atom): 17.63
SG: I-4m2
Raw formation energy (kJ per mole of atoms): 4.27

Unit cell a=5.4776 b=5.4776 c=5.4776 alpha=138.83 beta=138.83 gamma=59.63
Last column: nearest neighbours and their distance in Å.
Atoms (fractional coordinates):
Se (0.7500, 0.2500, 0.5000)  4 Co 2.72
La (0.5000, 0.5000, 0.0000)  4 Co 2.72
Co (0.0000, 0.0000, 0.0000)  4 La 2.72
Co (0.2500, 0.7500, 0.5000)  4 Se 2.72



Here is a relaxed La3Co5Se12 crystal from the Alexandria database. Energies are from PBE.

Results
Raw total energy (eV/atom): -5.371
Total magnetic moment (μB/cell): 31.5
V (A^3/atom): 23.18
SG: Ia-3d
Raw formation energy (kJ per mole of atoms): -73.79

Unit cell a=13.4050 b=13.4050 c=13.4050 alpha=109.47 beta=109.47 gamma=109.47
Last column: nearest neighbours and their distance in Å.
Atoms (fractional coordinates):
Co (0.0000, 0.0000, 0.0000)  6 Se 2.44
Se (0.8217, 0.9119, 0.3025)  2 Co 2.31-2.44
La (0.8750, 0.1250, 0.2500)  8 Se 3.08-3.10
Se (0.6783, 0.4809, 0.5902)  2 Co 2.31-2.44
Co (0.6250, 0.7500, 0.8750)  4 Se 2.31
Se (0.5881, 0.6975, 0.6783)  2 Co 2.31-2.44
Se (0.3907, 0.9809, 0.8025)  2 Co 2.31-2.44
Se (0.5191, 0.3217, 0.9098)  2 Co 2.31-2.44
La (0.2500, 0.1250, 0.3750)  8 Se 3.08-3.10
Se (0.8907, 0.3025, 0.4809)  2 Co 2.31-2.44
Se (0.8217, 0.9098, 0.0191)  2 Co 2.31-2.44
Se (0.5902, 0.9809, 0.6783)  2 Co 2.31-2.44
Se (0.4119, 0.3025, 0.3217)  2 Co 2.31-2.44
Se (0.1783, 0.0902, 0.9809)  2 Co 2.31-2.44
Se (0.6093, 0.0191, 0.1975)  2 Co 2.31-2.44
Co (0.1250, 0.3750, 0.2500)  4 Se 2.31
Se (0.1975, 0.6783, 0.0881)  2 Co 2.31-2.44
Se (0.4809, 0.6783, 0.0902)  2 Co 2.31-2.44
Co (0.3750, 0.2500, 0.1250)  4 Se 2.31
Co (0.1250, 0.7500, 0.3750)  4 Se 2.31
La (0.7500, 0.8750, 0.6250)  8 Se 3.08-3.10
Se (0.8025, 0.3217, 0.9119)  2 Co 2.31-2.44
Se (0.0902, 0.9119, 0.1093)  2 Co 2.31-2.44
La (0.3750, 0.6250, 0.2500)  8 Se 3.08-3.10
Se (0.6975, 0.1093, 0.0191)  2 Co 2.31-2.44
Se (0.4119, 0.1093, 0.5902)  2 Co 2.31-2.44
Se (0.4809, 0.8025, 0.8907)  2 Co 2.31-2.44
Se (0.9809, 0.3907, 0.3025)  2 Co 2.31-2.44
Se (0.4098, 0.3907, 0.5881)  2 Co 2.31-2.44
La (0.6250, 0.3750, 0.7500)  8 Se 3.08-3.10
Co (0.8750, 0.6250, 0.7500)  4 Se 2.31
Se (0.5902, 0.6093, 0.4119)  2 Co 2.31-2.44
Se (0.0191, 0.4098, 0.8217)  2 Co 2.31-2.44
Co (0.5000, 0.5000, 0.5000)  6 Se 2.44
Co (0.0000, 0.5000, 0.0000)  6 Se 2.44
Co (0.0000, 0.5000, 0.5000)  6 Se 2.44
Se (0.3217, 0.8025, 0.4119)  2 Co 2.31-2.44
Se (0.3907, 0.4098, 0.0881)  2 Co 2.31-2.44
Se (0.3025, 0.8907, 0.9809)  2 Co 2.31-2.44
Co (0.0000, 0.0000, 0.5000)  6 Se 2.44
Se (0.0881, 0.1783, 0.1975)  2 Co 2.31-2.44
Co (0.7500, 0.6250, 0.3750)  4 Se 2.31
Se (0.6975, 0.5881, 0.1783)  2 Co 2.31-2.44
La (0.2500, 0.6250, 0.8750)  8 Se 3.08-3.10
Se (0.9098, 0.0881, 0.8907)  2 Co 2.31-2.44
Se (0.9809, 0.5902, 0.1783)  2 Co 2.31-2.44
Se (0.1783, 0.0881, 0.6975)  2 Co 2.31-2.44
Se (0.1093, 0.6975, 0.5191)  2 Co 2.31-2.44
Se (0.9119, 0.8217, 0.8025)  2 Co 2.31-2.44
Se (0.4098, 0.0191, 0.3217)  2 Co 2.31-2.44
Co (0.6250, 0.8750, 0.2500)  4 Se 2.31
Se (0.3025, 0.4119, 0.8217)  2 Co 2.31-2.44
Se (0.9098, 0.8217, 0.5191)  2 Co 2.31-2.44
La (0.6250, 0.2500, 0.3750)  8 Se 3.08-3.10
Co (0.5000, 0.0000, 0.0000)  6 Se 2.44
Se (0.6783, 0.1975, 0.5881)  2 Co 2.31-2.44
Se (0.5881, 0.8907, 0.4098)  2 Co 2.31-2.44
Se (0.6093, 0.5902, 0.9119)  2 Co 2.31-2.44
Co (0.5000, 0.5000, 0.0000)  6 Se 2.44
Co (0.2500, 0.8750, 0.1250)  4 Se 2.31
Co (0.8750, 0.2500, 0.6250)  4 Se 2.31
La (0.3750, 0.7500, 0.6250)  8 Se 3.08-3.10
Se (0.0191, 0.6093, 0.6975)  2 Co 2.31-2.44
Se (0.1093, 0.4119, 0.0902)  2 Co 2.31-2.44
La (0.8750, 0.7500, 0.1250)  8 Se 3.08-3.10
Co (0.7500, 0.1250, 0.8750)  4 Se 2.31
La (0.1250, 0.8750, 0.7500)  8 Se 3.08-3.10
La (0.7500, 0.3750, 0.1250)  8 Se 3.08-3.10
Se (0.8025, 0.4809, 0.3907)  2 Co 2.31-2.44
Co (0.2500, 0.3750, 0.6250)  4 Se 2.31
Co (0.3750, 0.1250, 0.7500)  4 Se 2.31
Se (0.0881, 0.9098, 0.3907)  2 Co 2.31-2.44
Co (0.5000, 0.0000, 0.5000)  6 Se 2.44
Se (0.3217, 0.5191, 0.4098)  2 Co 2.31-2.44
Se (0.5191, 0.1975, 0.1093)  2 Co 2.31-2.44
Se (0.1975, 0.5191, 0.6093)  2 Co 2.31-2.44
Se (0.9119, 0.0902, 0.6093)  2 Co 2.31-2.44
Se (0.8907, 0.5881, 0.9098)  2 Co 2.31-2.44
La (0.1250, 0.2500, 0.8750)  8 Se 3.08-3.10
Se (0.0902, 0.1783, 0.4809)  2 Co 2.31-2.44



The highest raw total energy belongs to which entry?
LaCoSe4